Entry 1:
ZnNi2O5 | GGA+U | optimized geometry

Cell and atoms, written as extended XYZ:
```
16
Lattice="3.7959 -0.6533 -0.0595 -0.9703 5.6990 -0.6315 -0.0758 -1.3991 10.5535" Properties=species:S:1:pos:R:3 pbc="T T T"
Ni 2.3002 1.1050 9.1575
Ni 2.3095 1.4457 5.9318
O 0.1406 0.5254 2.7725
O 2.6190 3.1052 7.0976
O 0.1470 0.6706 1.4380
Ni 0.4577 2.5244 0.7110
O 0.3408 1.0620 9.3161
O 2.1182 0.2045 7.4096
O 2.6117 2.9593 8.4320
O 0.6408 3.4259 2.4581
O 0.3419 1.3900 5.7193
Zn 2.6121 3.5260 2.4286
Ni 0.4503 2.1868 3.9373
Zn 0.1469 0.1042 7.4390
O 2.4179 2.2424 4.1495
O 2.4172 2.5669 0.5524
```

Output
polymorph energy (0 for the lowest one) = 0.000 eV per atom
magnetic moment = 4.01 μB per formula unit
VASP energy = -4.59 eV/atom
space group = P-1

***

Entry 2:
ZnNiO2 | GGA+U | optimized geometry

Cell and atoms, written as extended XYZ:
```
4
Lattice="5.1264 -0.1304 2.9646 5.8488 -0.9334 0.0778 5.5015 2.0407 0.8091" Properties=species:S:1:pos:R:3 pbc="T T T"
Zn 0.0000 0.0000 0.0000
Ni 8.2384 0.4885 1.9258
O 14.7571 0.8750 3.4496
O 1.7196 0.1020 0.4020
```

Output
magnetic moment = 2.00 μB per formula unit
VASP energy = -4.43 eV/atom
space group = R-3m

***

Entry 3:
ZnNiO2 | GGA+U | optimized geometry

Cell and atoms, written as extended XYZ:
```
8
Lattice="4.4213 0.0000 0.0000 0.0000 4.4213 0.0000 2.2107 2.2107 4.9551" Properties=species:S:1:pos:R:3 pbc="T T T"
Zn 4.4213 2.2107 2.4776
Zn 0.0000 0.0000 0.0000
Ni 2.2107 4.4213 2.4776
O 5.5266 5.5034 3.7163
O 3.2927 1.1053 1.2388
O 3.3160 3.3393 3.7163
Ni 2.2107 2.2107 0.0000
O 1.1286 3.3160 1.2388
```

Output
magnetic moment = 2.00 μB per formula unit
VASP energy = -4.53 eV/atom
space group = I-42d

***

Entry 4:
ZnNi4O10 | GGA+U | optimized geometry

Cell and atoms, written as extended XYZ:
```
15
Lattice="1.4189 5.2151 -0.0889 -1.4189 5.2151 -0.0889 0.0000 1.0676 10.9144" Properties=species:S:1:pos:R:3 pbc="T T T"
O 0.0000 8.9381 8.2564
Ni 0.0000 2.5432 4.3579
O 0.0000 2.5598 2.4802
O 0.0000 4.9310 10.4279
O 0.0000 2.5243 6.2353
O 0.0000 4.9545 6.6886
O 0.0000 0.9484 8.8424
Ni 0.0000 6.5480 2.1703
Zn 0.0000 0.0000 0.0000
O 0.0000 8.9736 4.5013
O 0.0000 6.5434 4.0479
Ni 0.0000 4.9499 8.5663
O 0.0000 10.5495 1.8941
O 0.0000 6.5669 0.3086
Ni 0.0000 8.9547 6.3787
```

Output
magnetic moment = 2.01 μB per formula unit
VASP energy = -4.44 eV/atom
space group = C2/m

***

Entry 5:
ZnNiO3 | GGA+U | optimized geometry

Cell and atoms, written as extended XYZ:
```
5
Lattice="3.6662 0.0000 0.0000 0.0000 3.6662 0.0000 0.0000 0.0000 3.6662" Properties=species:S:1:pos:R:3 pbc="T T T"
Ni 0.0000 0.0000 0.0000
O 0.0000 0.0000 1.8331
O 1.8331 0.0000 0.0000
O 0.0000 1.8331 0.0000
Zn 1.8331 1.8331 1.8331
```

Output
magnetic moment = 0.00 μB per formula unit
VASP energy = -3.98 eV/atom
space group = Pm-3m

***

Entry 6:
ZnNiO2 | GGA+U | optimized geometry

Cell and atoms, written as extended XYZ:
```
4
Lattice="1.7974 0.0000 5.6809 -0.8987 1.5566 5.6809 -0.8987 -1.5566 5.6809" Properties=species:S:1:pos:R:3 pbc="T T T"
O 0.0000 0.0000 15.2990
Zn 0.0000 0.0000 8.5214
O 0.0000 0.0000 1.7438
Ni 0.0000 0.0000 0.0000
```

Output
magnetic moment = 2.00 μB per formula unit
VASP energy = -4.25 eV/atom
space group = R-3m

***

Entry 7:
ZnNiO2 | GGA+U | optimized geometry

Cell and atoms, written as extended XYZ:
```
4
Lattice="3.0239 0.0000 0.0000 1.5120 2.6188 0.0000 1.5120 0.8729 4.9398" Properties=species:S:1:pos:R:3 pbc="T T T"
Zn 3.0239 1.7459 2.4699
O 4.5359 2.6188 3.7333
Ni 0.0000 0.0000 0.0000
O 1.5120 0.8729 1.2065
```

Output
magnetic moment = 2.00 μB per formula unit
VASP energy = -4.62 eV/atom
space group = R-3m

***

Entry 8:
ZnNi2O2 | GGA+U | optimized geometry

Cell and atoms, written as extended XYZ:
```
10
Lattice="-4.0752 -1.8375 4.1350 3.7839 -4.4355 1.7582 1.1570 1.7466 1.9164" Properties=species:S:1:pos:R:3 pbc="T T T"
O 2.4193 -2.4443 2.8706
O -1.5537 -2.0820 4.9390
O -0.0811 -0.5010 2.6089
Ni -2.0819 -1.8714 2.9624
Zn 0.0000 0.0000 0.0000
Ni 0.6984 -1.8232 1.2400
Ni 1.7905 -4.4016 2.9307
Ni -0.9898 -4.4498 4.6531
Zn -0.1457 -3.1365 2.9466
O 0.9467 -4.0254 5.2006
```

Output
polymorph energy (0 for the lowest one) = 0.116 eV per atom
magnetic moment = 2.01 μB per formula unit
VASP energy = -3.32 eV/atom
space group = P4/mbm